A | This record from Alexandria describes a relaxed Cd3AgBi crystal. The functional is PBE.

POSCAR file:
```
Cd3AgBi
1.0
5.243 0.000 0.000
0.000 5.243 0.000
0.000 0.000 5.243
Cd Ag Bi
3 1 1
direct
0.000 0.000 0.500
0.500 0.000 0.000
0.000 0.500 0.000
0.000 0.000 0.000
0.500 0.500 0.500
```

Properties
M_tot	0.00	μB per cell
symmetry	No. 221

B | This record from Alexandria describes a relaxed Cd3AgBi crystal. The functional is PBE.

POSCAR file:
```
Cd3AgBi
1.0
-3.102 -4.767 -1.614
5.012 -4.166 2.670
-5.357 2.113 4.054
Cd Ag Bi
6 2 2
direct
0.750 0.195 0.391
0.250 0.805 0.609
0.750 0.195 0.805
0.750 0.609 0.805
0.250 0.805 0.195
0.250 0.391 0.195
0.500 0.000 0.000
0.000 0.000 0.000
0.750 0.667 0.333
0.250 0.333 0.667
```

Properties
M_tot	0.00	μB per cell
symmetry	No. 194

Short version: A is the least stable of them.